*1*
## HfCuTcMo (GGA-PBE)

Data for a geometry-optimized HfCuTcMo structure.

abc: 6.319 6.319 6.319
angles: 90.00 90.00 90.00
Fractional coordinates of all 16 atoms:
Hf: 0.000 0.000 0.000
Hf: 0.000 0.500 0.500
Hf: 0.500 0.000 0.500
Hf: 0.500 0.500 0.000
Cu: 0.250 0.250 0.750
Cu: 0.250 0.750 0.250
Cu: 0.750 0.250 0.250
Cu: 0.750 0.750 0.750
Tc: 0.250 0.250 0.250
Tc: 0.250 0.750 0.750
Tc: 0.750 0.250 0.750
Tc: 0.750 0.750 0.250
Mo: 0.000 0.000 0.500
Mo: 0.000 0.500 0.000
Mo: 0.500 0.000 0.000
Mo: 0.500 0.500 0.500

Summary:
Magnetic moment in μB per cell: 0.0
Crystal system: cubic
Volume in Å³ per cell: 252.32

*2*
## HfCuTcMo (GGA-PBE)

Data for a geometry-optimized HfCuTcMo structure.

abc: 6.305 6.305 6.305
angles: 90.00 90.00 90.00
Fractional coordinates of all 16 atoms:
Hf: 0.000 0.000 0.000
Hf: 0.000 0.500 0.500
Hf: 0.500 0.000 0.500
Hf: 0.500 0.500 0.000
Cu: 0.250 0.250 0.250
Cu: 0.250 0.750 0.750
Cu: 0.750 0.250 0.750
Cu: 0.750 0.750 0.250
Tc: 0.000 0.000 0.500
Tc: 0.000 0.500 0.000
Tc: 0.500 0.000 0.000
Tc: 0.500 0.500 0.500
Mo: 0.250 0.250 0.750
Mo: 0.250 0.750 0.250
Mo: 0.750 0.250 0.250
Mo: 0.750 0.750 0.750

Summary:
Magnetic moment in μB per cell: 0.0
Crystal system: cubic
Volume in Å³ per cell: 250.63

Relative energies, unit eV/atom: *1* 0.000; *2* 0.033

*1*
## NaHfCuTe3 (GGA-PBE)

Data for a geometry-optimized NaHfCuTe3 structure.

abc: 7.610 7.610 10.808
angles: 90.00 90.00 149.27
Fractional coordinates of all 12 atoms:
Na: 0.241 0.759 0.750
Na: 0.759 0.241 0.250
Hf: 0.000 0.000 0.000
Hf: 0.000 0.000 0.500
Cu: 0.468 0.532 0.250
Cu: 0.532 0.468 0.750
Te: 0.082 0.918 0.250
Te: 0.364 0.636 0.055
Te: 0.364 0.636 0.445
Te: 0.636 0.364 0.555
Te: 0.636 0.364 0.945
Te: 0.918 0.082 0.750

Summary:
Magnetic moment in μB per cell: 0.0
Crystal system: orthorhombic
Volume in Å³ per cell: 319.81

*2*
## NaHfCuTe3 (GGA-PBE)

Data for a geometry-optimized NaHfCuTe3 structure.

abc: 12.490 4.147 12.200
angles: 90.00 90.00 90.00
Fractional coordinates of all 24 atoms:
Na: 0.201 0.250 0.028
Na: 0.299 0.750 0.528
Na: 0.701 0.250 0.472
Na: 0.799 0.750 0.972
Hf: 0.054 0.250 0.322
Hf: 0.446 0.750 0.822
Hf: 0.554 0.250 0.178
Hf: 0.946 0.750 0.678
Cu: 0.238 0.750 0.212
Cu: 0.262 0.250 0.712
Cu: 0.738 0.750 0.288
Cu: 0.762 0.250 0.788
Te: 0.041 0.750 0.152
Te: 0.088 0.250 0.577
Te: 0.224 0.750 0.834
Te: 0.276 0.250 0.334
Te: 0.412 0.750 0.077
Te: 0.459 0.250 0.652
Te: 0.541 0.750 0.348
Te: 0.588 0.250 0.923
Te: 0.724 0.750 0.666
Te: 0.776 0.250 0.166
Te: 0.912 0.750 0.423
Te: 0.959 0.250 0.848

Summary:
Magnetic moment in μB per cell: 0.0
Crystal system: orthorhombic
Volume in Å³ per cell: 632.00

Relative energies, unit eV/atom: *1* 0.000; *2* 0.088

*1*
## NaHfCuTe3 (GGA-PBE)

Data for a geometry-optimized NaHfCuTe3 structure.

abc: 8.323 4.314 17.175
angles: 90.00 90.00 90.00
Fractional coordinates of all 24 atoms:
Na: 0.110 0.250 0.195
Na: 0.390 0.750 0.695
Na: 0.610 0.250 0.305
Na: 0.890 0.750 0.805
Hf: 0.243 0.250 0.952
Hf: 0.257 0.750 0.452
Hf: 0.743 0.250 0.548
Hf: 0.757 0.750 0.048
Cu: 0.014 0.750 0.329
Cu: 0.486 0.250 0.829
Cu: 0.514 0.750 0.171
Cu: 0.986 0.250 0.671
Te: 0.002 0.250 0.417
Te: 0.126 0.750 0.052
Te: 0.183 0.250 0.789
Te: 0.317 0.750 0.289
Te: 0.374 0.250 0.552
Te: 0.498 0.750 0.917
Te: 0.502 0.250 0.083
Te: 0.626 0.750 0.448
Te: 0.683 0.250 0.711
Te: 0.817 0.750 0.211
Te: 0.874 0.250 0.948
Te: 0.998 0.750 0.583

Summary:
Magnetic moment in μB per cell: 0.0
Crystal system: orthorhombic
Volume in Å³ per cell: 616.71

*2*
## NaHfCuTe3 (GGA-PBE)

Data for a geometry-optimized NaHfCuTe3 structure.

abc: 8.279 4.060 10.273
angles: 90.00 108.64 90.00
Fractional coordinates of all 12 atoms:
Na: 0.227 0.250 0.204
Na: 0.773 0.750 0.796
Hf: 0.204 0.750 0.675
Hf: 0.796 0.250 0.325
Cu: 0.417 0.250 0.902
Cu: 0.583 0.750 0.098
Te: 0.065 0.750 0.368
Te: 0.243 0.750 0.958
Te: 0.438 0.250 0.653
Te: 0.562 0.750 0.347
Te: 0.757 0.250 0.042
Te: 0.935 0.250 0.632

Summary:
Magnetic moment in μB per cell: 0.0
Crystal system: monoclinic
Volume in Å³ per cell: 327.13

Relative energies, unit eV/atom: *1* 0.107; *2* 0.000

*1*
## HfCuNiPb (GGA-PBE)

Data for a geometry-optimized HfCuNiPb structure.

abc: 6.450 6.450 6.450
angles: 90.00 90.00 90.00
Fractional coordinates of all 16 atoms:
Hf: 0.000 0.000 0.000
Hf: 0.000 0.500 0.500
Hf: 0.500 0.000 0.500
Hf: 0.500 0.500 0.000
Cu: 0.250 0.250 0.750
Cu: 0.250 0.750 0.250
Cu: 0.750 0.250 0.250
Cu: 0.750 0.750 0.750
Ni: 0.250 0.250 0.250
Ni: 0.250 0.750 0.750
Ni: 0.750 0.250 0.750
Ni: 0.750 0.750 0.250
Pb: 0.000 0.000 0.500
Pb: 0.000 0.500 0.000
Pb: 0.500 0.000 0.000
Pb: 0.500 0.500 0.500

Summary:
Magnetic moment in μB per cell: 0.0
Crystal system: cubic
Volume in Å³ per cell: 268.32

*2*
## HfCuNiPb (GGA-PBE)

Data for a geometry-optimized HfCuNiPb structure.

abc: 6.507 6.507 6.507
angles: 90.00 90.00 90.00
Fractional coordinates of all 16 atoms:
Hf: 0.000 0.000 0.000
Hf: 0.000 0.500 0.500
Hf: 0.500 0.000 0.500
Hf: 0.500 0.500 0.000
Cu: 0.250 0.250 0.750
Cu: 0.250 0.750 0.250
Cu: 0.750 0.250 0.250
Cu: 0.750 0.750 0.750
Ni: 0.000 0.000 0.500
Ni: 0.000 0.500 0.000
Ni: 0.500 0.000 0.000
Ni: 0.500 0.500 0.500
Pb: 0.250 0.250 0.250
Pb: 0.250 0.750 0.750
Pb: 0.750 0.250 0.750
Pb: 0.750 0.750 0.250

Summary:
Magnetic moment in μB per cell: 0.0
Crystal system: cubic
Volume in Å³ per cell: 275.57

Relative energies, unit eV/atom: *1* 0.000; *2* 0.232

*1*
## HfCuNiSb (GGA-PBE)

Data for a geometry-optimized HfCuNiSb structure.

abc: 6.446 6.446 6.446
angles: 90.00 90.00 90.00
Fractional coordinates of all 16 atoms:
Hf: 0.000 0.000 0.000
Hf: 0.000 0.500 0.500
Hf: 0.500 0.000 0.500
Hf: 0.500 0.500 0.000
Cu: 0.250 0.250 0.750
Cu: 0.250 0.750 0.250
Cu: 0.750 0.250 0.250
Cu: 0.750 0.750 0.750
Ni: 0.000 0.000 0.500
Ni: 0.000 0.500 0.000
Ni: 0.500 0.000 0.000
Ni: 0.500 0.500 0.500
Sb: 0.250 0.250 0.250
Sb: 0.250 0.750 0.750
Sb: 0.750 0.250 0.750
Sb: 0.750 0.750 0.250

Summary:
Magnetic moment in μB per cell: 0.0
Crystal system: cubic
Volume in Å³ per cell: 267.86

*2*
## HfCuNiSb (GGA-PBE)

Data for a geometry-optimized HfCuNiSb structure.

abc: 6.386 6.386 6.386
angles: 90.00 90.00 90.00
Fractional coordinates of all 16 atoms:
Hf: 0.000 0.000 0.000
Hf: 0.000 0.500 0.500
Hf: 0.500 0.000 0.500
Hf: 0.500 0.500 0.000
Cu: 0.250 0.250 0.750
Cu: 0.250 0.750 0.250
Cu: 0.750 0.250 0.250
Cu: 0.750 0.750 0.750
Ni: 0.250 0.250 0.250
Ni: 0.250 0.750 0.750
Ni: 0.750 0.250 0.750
Ni: 0.750 0.750 0.250
Sb: 0.000 0.000 0.500
Sb: 0.000 0.500 0.000
Sb: 0.500 0.000 0.000
Sb: 0.500 0.500 0.500

Summary:
Magnetic moment in μB per cell: 0.0
Crystal system: cubic
Volume in Å³ per cell: 260.44

Relative energies, unit eV/atom: *1* 0.141; *2* 0.000

*1*
## YHfCuNi (GGA-PBE)

Data for a geometry-optimized YHfCuNi structure.

abc: 6.475 6.475 6.475
angles: 90.00 90.00 90.00
Fractional coordinates of all 16 atoms:
Y: 0.000 0.000 0.000
Y: 0.000 0.500 0.500
Y: 0.500 0.000 0.500
Y: 0.500 0.500 0.000
Hf: 0.250 0.250 0.750
Hf: 0.250 0.750 0.250
Hf: 0.750 0.250 0.250
Hf: 0.750 0.750 0.750
Cu: 0.250 0.250 0.250
Cu: 0.250 0.750 0.750
Cu: 0.750 0.250 0.750
Cu: 0.750 0.750 0.250
Ni: 0.000 0.000 0.500
Ni: 0.000 0.500 0.000
Ni: 0.500 0.000 0.000
Ni: 0.500 0.500 0.500

Summary:
Magnetic moment in μB per cell: 0.0
Crystal system: cubic
Volume in Å³ per cell: 271.47

*2*
## YHfCuNi (GGA-PBE)

Data for a geometry-optimized YHfCuNi structure.

abc: 6.625 6.625 6.625
angles: 90.00 90.00 90.00
Fractional coordinates of all 16 atoms:
Y: 0.000 0.000 0.000
Y: 0.000 0.500 0.500
Y: 0.500 0.000 0.500
Y: 0.500 0.500 0.000
Hf: 0.000 0.000 0.500
Hf: 0.000 0.500 0.000
Hf: 0.500 0.000 0.000
Hf: 0.500 0.500 0.500
Cu: 0.250 0.250 0.250
Cu: 0.250 0.750 0.750
Cu: 0.750 0.250 0.750
Cu: 0.750 0.750 0.250
Ni: 0.250 0.250 0.750
Ni: 0.250 0.750 0.250
Ni: 0.750 0.250 0.250
Ni: 0.750 0.750 0.750

Summary:
Magnetic moment in μB per cell: 0.0
Crystal system: cubic
Volume in Å³ per cell: 290.73

Relative energies, unit eV/atom: *1* 0.298; *2* 0.000